Entry from the Alexandria database: Si4NiIr after structural relaxation (PBE).

Cell: 4.8668 4.8668 4.8668 Å, 60.00 60.00 60.00°
Atoms (fractional coordinates):
Si 0.1252 0.1252 0.1252
Si 0.1252 0.1252 0.6245
Si 0.1252 0.6245 0.1252
Si 0.6245 0.1252 0.1252
Ni 0.5000 0.5000 0.5000
Ir 0.7500 0.7500 0.7500

Volume   82 Å³/cell
DOS(E_F)   3.4 states/eV/f.u.
E   -5.5926 eV per atom
Energy relative to the elements, uncorrected   0.463 eV per atom



Entry from the Alexandria database: SiNiIr after structural relaxation (PBE).

Cell: 2.8255 4.7112 11.8874 Å, 90.00 90.00 90.00°
Atoms (fractional coordinates):
Si 0.0000 0.0000 0.0000
Si 0.0000 0.5000 0.5000
Si 0.5000 0.0000 0.5000
Si 0.5000 0.5000 0.0000
Ni 0.0000 0.0000 0.6459
Ni 0.0000 0.5000 0.1459
Ni 0.5000 0.0000 0.1459
Ni 0.5000 0.5000 0.6459
Ir 0.0000 0.0000 0.3377
Ir 0.0000 0.5000 0.8377
Ir 0.5000 0.0000 0.8377
Ir 0.5000 0.5000 0.3377

Volume   158 Å³/cell
DOS(E_F)   1.6 states/eV/f.u.
E   -6.7895 eV per atom
Energy relative to the elements, uncorrected   -0.101 eV per atom



Entry from the Alexandria database: SiNiIr after structural relaxation (PBE).

Cell: 2.9601 4.1962 6.4598 Å, 90.00 90.00 90.00°
Atoms (fractional coordinates):
Si 0.0000 0.0000 0.0000
Si 0.5000 0.5000 0.5000
Ni 0.0000 0.5000 0.7823
Ni 0.5000 0.0000 0.2823
Ir 0.0000 0.5000 0.2058
Ir 0.5000 0.0000 0.7058

Volume   80 Å³/cell
DOS(E_F)   1.2 states/eV/f.u.
E   -7.1132 eV per atom
Energy relative to the elements, uncorrected   -0.425 eV per atom



Entry from the Alexandria database: SiNiIr after structural relaxation (PBE).

Cell: 5.4933 5.4933 5.4933 Å, 90.00 90.00 90.00°
Atoms (fractional coordinates):
Si 0.0000 0.0000 0.0000
Si 0.0000 0.5000 0.5000
Si 0.5000 0.0000 0.5000
Si 0.5000 0.5000 0.0000
Ni 0.2500 0.2500 0.2500
Ni 0.2500 0.7500 0.7500
Ni 0.7500 0.2500 0.7500
Ni 0.7500 0.7500 0.2500
Ir 0.2500 0.2500 0.7500
Ir 0.2500 0.7500 0.2500
Ir 0.7500 0.2500 0.2500
Ir 0.7500 0.7500 0.7500

Volume   166 Å³/cell
DOS(E_F)   1.4 states/eV/f.u.
E   -7.2308 eV per atom
Energy relative to the elements, uncorrected   -0.542 eV per atom



Entry from the Alexandria database: SiNiIr3 after structural relaxation (PBE).

Cell: 4.4431 4.4431 4.4431 Å, 90.00 90.00 90.00°
Atoms (fractional coordinates):
Si 0.0000 0.0000 0.0000
Ni 0.5000 0.5000 0.5000
Ir 0.0000 0.5000 0.5000
Ir 0.5000 0.0000 0.5000
Ir 0.5000 0.5000 0.0000

Volume   88 Å³/cell
Energy relative to the lowest polymorph listed for this composition   618 meV per atom
DOS(E_F)   8.2 states/eV/f.u.
E   -6.0099 eV per atom
Energy relative to the elements, uncorrected   1.548 eV per atom



Entry from the Alexandria database: SiNiIr after structural relaxation (PBE).

Cell: 2.8655 2.8655 9.0841 Å, 90.00 90.00 90.00°
Atoms (fractional coordinates):
Si 0.0000 0.0000 0.0000
Si 0.5000 0.5000 0.5000
Ni 0.0000 0.0000 0.3620
Ni 0.5000 0.5000 0.8620
Ir 0.0000 0.0000 0.6572
Ir 0.5000 0.5000 0.1572

Volume   75 Å³/cell
DOS(E_F)   1.7 states/eV/f.u.
E   -7.1077 eV per atom
Energy relative to the elements, uncorrected   -0.419 eV per atom